1.
Density functional theory data (GGA-PBE) for PtCN after structural relaxation.

Unit cell a=4.637 b=4.637 c=5.060 alpha=90.00 beta=90.00 gamma=90.00
Space group I4mm (No. 107)
Unique sites:
Pt1 0.000 0.000 0.000 x2
C1 0.000 0.000 0.375 x2
N1 0.000 0.000 0.609 x2

Values from the calculation:
Density ... 6.75 g/cm³
Calculated volume ... 18.13 Å³/atom
Formation energy without anion corrections ... 2.58 eV/f.u.
DFT total energy ... -7.002 eV per atom

***

2.
Density functional theory data (GGA-PBE) for Pt2CN after structural relaxation.

Unit cell a=5.626 b=5.626 c=5.626 alpha=90.00 beta=90.00 gamma=90.00
Space group Fm-3m (No. 225)
Unique sites:
Pt1 0.250 0.250 0.250 x8
C1 0.000 0.000 0.000 x4
N1 0.000 0.000 0.500 x4

Values from the calculation:
Density ... 15.52 g/cm³
Calculated volume ... 11.13 Å³/atom
Formation energy without anion corrections ... 7.40 eV/f.u.
DFT total energy ... -5.559 eV per atom

***

3.
Density functional theory data (GGA-PBE) for Rb2PtC4N4 after structural relaxation.

Unit cell a=7.777 b=11.198 c=11.394 alpha=90.00 beta=90.00 gamma=90.00
Space group Imma (No. 74)
Unique sites:
Rb1 0.000 0.000 0.000 x4
Rb2 0.000 0.250 0.287 x4
Pt1 0.250 0.250 0.750 x4
C1 0.235 0.250 0.924 x8
C2 0.250 0.072 0.750 x8
N1 0.219 0.250 0.027 x8
N2 0.250 0.033 0.250 x8

Values from the calculation:
Density ... 3.15 g/cm³
Calculated volume ... 22.55 Å³/atom
Formation energy without anion corrections ... -2.19 eV/f.u.
DFT total energy ... -7.305 eV per atom

***

4.
Density functional theory data (GGA-PBE) for Rb2PtCN after structural relaxation.

Unit cell a=6.281 b=6.281 c=2.766 alpha=90.00 beta=90.00 gamma=90.00
Space group P4/mmm (No. 123)
Unique sites:
Rb1 0.000 0.500 0.000 x2
Pt1 0.000 0.000 0.500 x1
C1 0.500 0.500 0.000 x1
N1 0.500 0.500 0.500 x1

Values from the calculation:
Density ... 5.97 g/cm³
Calculated volume ... 21.82 Å³/atom
Formation energy without anion corrections ... 4.02 eV/f.u.
DFT total energy ... -4.300 eV per atom

***

5.
Density functional theory data (GGA-PBE) for PtCSN2 after structural relaxation.

Unit cell a=3.530 b=3.530 c=3.952 alpha=90.00 beta=90.00 gamma=90.00
Space group P4/mmm (No. 123)
Unique sites:
Pt1 0.000 0.000 0.000 x1
C1 0.500 0.500 0.500 x1
S1 0.500 0.500 0.000 x1
N1 0.000 0.500 0.500 x2

Values from the calculation:
Density ... 9.01 g/cm³
Calculated volume ... 9.85 Å³/atom
Formation energy without anion corrections ... 11.22 eV/f.u.
DFT total energy ... -4.965 eV per atom

***

6.
Density functional theory data (GGA-PBE) for PtCSN2 after structural relaxation.

Unit cell a=3.643 b=3.643 c=7.928 alpha=90.00 beta=90.00 gamma=90.00
Space group P4/mmm (No. 123)
Unique sites:
Pt1 0.000 0.000 0.000 x1
C1 0.500 0.500 0.500 x1
S1 0.000 0.000 0.500 x1
N1 0.000 0.500 0.000 x2

Values from the calculation:
Density ... 4.22 g/cm³
Calculated volume ... 21.04 Å³/atom
Formation energy without anion corrections ... 11.86 eV/f.u.
DFT total energy ... -4.837 eV per atom

***

7.
Density functional theory data (GGA-PBE) for ScPtC2N after structural relaxation.

Unit cell a=4.184 b=4.184 c=4.020 alpha=90.00 beta=90.00 gamma=90.00
Space group P4/mmm (No. 123)
Unique sites:
Sc1 0.000 0.000 0.000 x1
Pt1 0.500 0.500 0.500 x1
C1 0.000 0.500 0.000 x2
N1 0.000 0.000 0.500 x1

Values from the calculation:
Density ... 6.56 g/cm³
Calculated volume ... 14.07 Å³/atom
Formation energy without anion corrections ... 11.40 eV/f.u.
DFT total energy ... -5.548 eV per atom

***

8.
Density functional theory data (GGA-PBE) for Pt2CSeN after structural relaxation.

Unit cell a=5.066 b=5.066 c=2.644 alpha=90.00 beta=90.00 gamma=90.00
Space group P4/mmm (No. 123)
Unique sites:
Pt1 0.000 0.500 0.000 x2
C1 0.000 0.000 0.000 x1
Se1 0.500 0.500 0.500 x1
N1 0.000 0.000 0.500 x1

Values from the calculation:
Density ... 12.12 g/cm³
Calculated volume ... 13.57 Å³/atom
Formation energy without anion corrections ... 5.76 eV/f.u.
DFT total energy ... -5.470 eV per atom

***

9.
Density functional theory data (GGA-PBE) for PtCSeN2 after structural relaxation.

Unit cell a=3.650 b=3.650 c=8.469 alpha=90.00 beta=90.00 gamma=90.00
Space group P4/mmm (No. 123)
Unique sites:
Pt1 0.000 0.000 0.000 x1
C1 0.500 0.500 0.500 x1
Se1 0.000 0.000 0.500 x1
N1 0.000 0.500 0.000 x2

Values from the calculation:
Density ... 4.62 g/cm³
Calculated volume ... 22.57 Å³/atom
Formation energy without anion corrections ... 10.91 eV/f.u.
DFT total energy ... -4.898 eV per atom

***

10.
Density functional theory data (GGA-PBE) for PtCSeN2 after structural relaxation.

Unit cell a=3.571 b=3.571 c=4.422 alpha=90.00 beta=90.00 gamma=90.00
Space group P4/mmm (No. 123)
Unique sites:
Pt1 0.000 0.000 0.000 x1
C1 0.500 0.500 0.500 x1
Se1 0.500 0.500 0.000 x1
N1 0.000 0.500 0.500 x2

Values from the calculation:
Density ... 9.25 g/cm³
Calculated volume ... 11.28 Å³/atom
Formation energy without anion corrections ... 11.53 eV/f.u.
DFT total energy ... -4.775 eV per atom

***

11.
Density functional theory data (GGA-PBE) for SnPt2CN after structural relaxation.

Unit cell a=5.065 b=5.065 c=3.950 alpha=90.00 beta=90.00 gamma=90.00
Space group P4/mmm (No. 123)
Unique sites:
Sn1 0.000 0.000 0.000 x1
Pt1 0.000 0.500 0.000 x2
C1 0.500 0.500 0.500 x1
N1 0.000 0.000 0.500 x1

Values from the calculation:
Density ... 8.76 g/cm³
Calculated volume ... 20.27 Å³/atom
Formation energy without anion corrections ... 12.79 eV/f.u.
DFT total energy ... -4.168 eV per atom

***

12.
Density functional theory data (GGA-PBE) for Sr2PtCN after structural relaxation.

Unit cell a=5.334 b=5.334 c=3.280 alpha=90.00 beta=90.00 gamma=90.00
Space group P4/mmm (No. 123)
Unique sites:
Sr1 0.000 0.500 0.000 x2
Pt1 0.000 0.000 0.500 x1
C1 0.500 0.500 0.500 x1
N1 0.500 0.500 0.000 x1

Values from the calculation:
Density ... 7.05 g/cm³
Calculated volume ... 18.66 Å³/atom
Formation energy without anion corrections ... 1.43 eV/f.u.
DFT total energy ... -5.105 eV per atom

***

13.
Density functional theory data (GGA-PBE) for TePtCN2 after structural relaxation.

Unit cell a=3.668 b=3.668 c=8.633 alpha=90.00 beta=90.00 gamma=90.00
Space group P4/mmm (No. 123)
Unique sites:
Te1 0.000 0.000 0.000 x1
Pt1 0.000 0.000 0.500 x1
C1 0.500 0.500 0.000 x1
N1 0.000 0.500 0.500 x2

Values from the calculation:
Density ... 5.19 g/cm³
Calculated volume ... 23.23 Å³/atom
Formation energy without anion corrections ... 9.96 eV/f.u.
DFT total energy ... -5.019 eV per atom

***

14.
Density functional theory data (GGA-PBE) for TePtCN2 after structural relaxation.

Unit cell a=3.713 b=3.713 c=4.701 alpha=90.00 beta=90.00 gamma=90.00
Space group P4/mmm (No. 123)
Unique sites:
Te1 0.000 0.000 0.000 x1
Pt1 0.500 0.500 0.000 x1
C1 0.000 0.000 0.500 x1
N1 0.000 0.500 0.500 x2

Values from the calculation:
Density ... 9.29 g/cm³
Calculated volume ... 12.96 Å³/atom
Formation energy without anion corrections ... 11.75 eV/f.u.
DFT total energy ... -4.661 eV per atom

***

15.
Density functional theory data (GGA-PBE) for Th4PtC2N after structural relaxation.

Unit cell a=6.732 b=3.776 c=6.830 alpha=90.00 beta=109.31 gamma=90.00
Space group P2/m (No. 10)
Unique sites:
Th1 0.233 0.000 0.219 x2
Th2 0.233 0.500 0.756 x2
Pt1 0.500 0.500 0.500 x1
C1 0.000 0.500 0.000 x1
C2 0.500 0.000 0.000 x1
N1 0.000 0.000 0.500 x1

Values from the calculation:
Density ... 11.77 g/cm³
Calculated volume ... 20.49 Å³/atom
Formation energy without anion corrections ... -5.33 eV/f.u.
DFT total energy ... -8.478 eV per atom

***

16.
Density functional theory data (GGA-PBE) for Y2PtCN after structural relaxation.

Unit cell a=4.874 b=4.874 c=3.807 alpha=90.00 beta=90.00 gamma=90.00
Space group P4/mmm (No. 123)
Unique sites:
Y1 0.000 0.500 0.000 x2
Pt1 0.000 0.000 0.500 x1
C1 0.000 0.000 0.000 x1
N1 0.500 0.500 0.500 x1

Values from the calculation:
Density ... 7.33 g/cm³
Calculated volume ... 18.08 Å³/atom
Formation energy without anion corrections ... -0.66 eV/f.u.
DFT total energy ... -7.435 eV per atom

***

17.
Density functional theory data (GGA-PBE) for ZnPtC6N6 after structural relaxation.

Unit cell a=10.664 b=10.664 c=10.664 alpha=90.00 beta=90.00 gamma=90.00
Space group Fm-3m (No. 225)
Unique sites:
Zn1 0.000 0.000 0.000 x4
Pt1 0.000 0.000 0.500 x4
C1 0.000 0.000 0.310 x24
N1 0.000 0.000 0.201 x24

Values from the calculation:
Density ... 2.28 g/cm³
Calculated volume ... 21.66 Å³/atom
Formation energy without anion corrections ... 4.43 eV/f.u.
DFT total energy ... -7.727 eV per atom

***

18.
Density functional theory data (GGA-PBE) for ZnPtC4N4 after structural relaxation.

Unit cell a=5.468 b=5.468 c=13.369 alpha=90.00 beta=90.00 gamma=90.00
Space group P4_2/mcm (No. 132)
Unique sites:
Zn1 0.000 0.000 0.250 x2
Pt1 0.500 0.500 0.000 x2
C1 0.316 0.316 0.103 x8
N1 0.205 0.205 0.162 x8

Values from the calculation:
Density ... 3.03 g/cm³
Calculated volume ... 19.99 Å³/atom
Formation energy without anion corrections ... 1.19 eV/f.u.
DFT total energy ... -7.632 eV per atom

***

19.
Density functional theory data (GGA-PBE) for PuCN after structural relaxation.

Unit cell a=6.597 b=7.157 c=6.731 alpha=90.00 beta=90.00 gamma=90.00
Space group Cmce (No. 64)
Unique sites:
Pu1 0.250 0.167 0.250 x8
C1 0.000 0.076 0.572 x8
N1 0.000 0.237 0.005 x8

Values from the calculation:
Density ... 11.29 g/cm³
Calculated volume ... 13.24 Å³/atom
Formation energy without anion corrections ... -0.97 eV/f.u.
DFT total energy ... -10.951 eV per atom

***

20.
Density functional theory data (GGA-PBE) for Pu3CN2 after structural relaxation.

Unit cell a=11.102 b=4.961 c=7.037 alpha=90.00 beta=108.47 gamma=90.00
Space group C2/c (No. 15)
Unique sites:
Pu1 0.000 0.000 0.250 x4
Pu2 0.170 0.500 0.085 x8
C1 0.000 0.499 0.250 x4
N1 0.166 0.000 0.083 x8

Values from the calculation:
Density ... 13.95 g/cm³
Calculated volume ... 15.32 Å³/atom
Formation energy without anion corrections ... -4.86 eV/f.u.
DFT total energy ... -12.288 eV per atom

***

21.
Density functional theory data (GGA-PBE) for Pu4CN2 after structural relaxation.

Unit cell a=12.900 b=3.480 c=6.058 alpha=90.00 beta=115.18 gamma=90.00
Space group C2/m (No. 12)
Unique sites:
Pu1 0.126 0.000 0.452 x4
Pu2 0.133 0.500 0.981 x4
C1 0.000 0.000 0.000 x2
N1 0.237 0.500 0.709 x4

Values from the calculation:
Density ... 13.71 g/cm³
Calculated volume ... 17.58 Å³/atom
Formation energy without anion corrections ... -4.42 eV/f.u.
DFT total energy ... -12.517 eV per atom

***

22.
Density functional theory data (GGA-PBE) for PuCN2 after structural relaxation.

Unit cell a=6.337 b=5.354 c=6.657 alpha=90.00 beta=112.88 gamma=90.00
Space group C2/c (No. 15)
Unique sites:
Pu1 0.000 0.157 0.250 x4
C1 0.000 0.347 0.750 x4
N1 0.099 0.246 0.627 x8

Values from the calculation:
Density ... 9.07 g/cm³
Calculated volume ... 13.00 Å³/atom
Formation energy without anion corrections ... -1.66 eV/f.u.
DFT total energy ... -10.466 eV per atom

***

23.
Density functional theory data (GGA-PBE) for Pu2CN after structural relaxation.

Unit cell a=3.516 b=3.516 c=4.977 alpha=90.00 beta=90.00 gamma=90.00
Space group P4/mmm (No. 123)
Unique sites:
Pu1 0.000 0.000 0.000 x1
Pu2 0.500 0.500 0.500 x1
C1 0.000 0.000 0.500 x1
N1 0.500 0.500 0.000 x1

Values from the calculation:
Density ... 13.87 g/cm³
Calculated volume ... 15.39 Å³/atom
Formation energy without anion corrections ... -2.33 eV/f.u.
DFT total energy ... -12.135 eV per atom

***

24.
Density functional theory data (GGA-PBE) for Pu2CN after structural relaxation.

Unit cell a=4.937 b=3.530 c=7.045 alpha=90.00 beta=90.61 gamma=90.00
Space group P2_1/m (No. 11)
Unique sites:
Pu1 0.248 0.250 0.117 x2
Pu2 0.248 0.250 0.624 x2
C1 0.266 0.750 0.357 x2
N1 0.267 0.750 0.869 x2

Values from the calculation:
Density ... 13.91 g/cm³
Calculated volume ... 15.35 Å³/atom
Formation energy without anion corrections ... -2.32 eV/f.u.
DFT total energy ... -12.135 eV per atom